1.
Material: TaSiOs4
Method: DFT, PBE
State: optimized geometry

Its density of states at the Fermi level is 25.01 states/eV per cell. The final energy comes out at -236.7 eV/cell. For the magnetization, the calculation gives 0.0 Bohr magnetons per cell.

It has space group F-43m (No. 216), with a = 7.265 Å, b = 7.265 Å, c = 7.265 Å, α = 90.00°, β = 90.00° and γ = 90.00°. Symmetry generates all atoms from Ta at (0.000, 0.000, 0.000), Si at (0.250, 0.250, 0.750) and Os at (0.125, 0.125, 0.375).

2.
Material: TaSi2Os2
Method: DFT, PBE
State: optimized geometry

Its density of states at the Fermi level is 5.72 states/eV per cell. The final energy comes out at -92.8 eV/cell. For the magnetization, the calculation gives 0.0 Bohr magnetons per cell.

It has space group P4/mbm (No. 127), with a = 7.099 Å, b = 7.099 Å, c = 2.829 Å, α = 90.00°, β = 90.00° and γ = 90.00°. Symmetry generates all atoms from Ta at (0.000, 0.000, 0.000), Si at (0.145, 0.355, 0.000) and Os at (0.151, 0.651, 0.500).

3.
Material: TaSi3Os
Method: DFT, PBE
State: optimized geometry

Its density of states at the Fermi level is 7.24 states/eV per cell. The final energy comes out at -33.9 eV/cell. For the magnetization, the calculation gives 2.0 Bohr magnetons per cell.

It has space group Pm-3m (No. 221), with a = 4.591 Å, b = 4.591 Å, c = 4.591 Å, α = 90.00°, β = 90.00° and γ = 90.00°. Symmetry generates all atoms from Ta at (0.000, 0.000, 0.000), Si at (0.000, 0.500, 0.500) and Os at (0.500, 0.500, 0.500).

4.
Material: TaSi4Os
Method: DFT, PBE
State: optimized geometry

Its density of states at the Fermi level is 17.56 states/eV per cell. The final energy comes out at -169.6 eV/cell. For the magnetization, the calculation gives 0.0 Bohr magnetons per cell.

It has space group F-43m (No. 216), with a = 6.884 Å, b = 6.884 Å, c = 6.884 Å, α = 90.00°, β = 90.00° and γ = 90.00°. Symmetry generates all atoms from Ta at (0.000, 0.000, 0.000), Si at (0.125, 0.125, 0.625) and Os at (0.250, 0.250, 0.250).

5.
Material: TbTaSi2Os
Method: DFT, PBE
State: optimized geometry

Its density of states at the Fermi level is 5.26 states/eV per cell. The final energy comes out at -83.3 eV/cell. For the magnetization, the calculation gives 0.0 Bohr magnetons per cell.

It has space group I-4m2 (No. 119), with a = 4.015 Å, b = 4.015 Å, c = 11.001 Å, α = 90.00°, β = 90.00° and γ = 90.00°. Symmetry generates all atoms from Tb at (0.000, 0.000, 0.000), Ta at (0.000, 0.500, 0.750), Si at (0.000, 0.000, 0.391) and Os at (0.000, 0.500, 0.250).

6.
Material: TaSiTcOs
Method: DFT, PBE
State: optimized geometry

Its density of states at the Fermi level is 0.07 states/eV per cell. The final energy comes out at -162.8 eV/cell. For the magnetization, the calculation gives 0.0 Bohr magnetons per cell.

It has space group F-43m (No. 216), with a = 6.165 Å, b = 6.165 Å, c = 6.165 Å, α = 90.00°, β = 90.00° and γ = 90.00°. Symmetry generates all atoms from Ta at (0.000, 0.000, 0.000), Si at (0.000, 0.000, 0.500), Tc at (0.250, 0.250, 0.750) and Os at (0.250, 0.250, 0.250).

7.
Material: ThTaSi2Os
Method: DFT, PBE
State: optimized geometry

Its density of states at the Fermi level is 5.85 states/eV per cell. The final energy comes out at -88.6 eV/cell. For the magnetization, the calculation gives 0.0 Bohr magnetons per cell.

It has space group I-4m2 (No. 119), with a = 4.095 Å, b = 4.095 Å, c = 10.989 Å, α = 90.00°, β = 90.00° and γ = 90.00°. Symmetry generates all atoms from Th at (0.000, 0.000, 0.000), Ta at (0.000, 0.500, 0.750), Si at (0.000, 0.000, 0.389) and Os at (0.000, 0.500, 0.250).

8.
Material: U2TaSi2Os5
Method: DFT, PBE
State: optimized geometry

Its density of states at the Fermi level is 28.10 states/eV per cell. The final energy comes out at -207.6 eV/cell. For the magnetization, the calculation gives 4.5 Bohr magnetons per cell.

It has space group P4/mbm (No. 127), with a = 9.723 Å, b = 9.723 Å, c = 3.532 Å, α = 90.00°, β = 90.00° and γ = 90.00°. Symmetry generates all atoms from U at (0.177, 0.323, 0.000), Ta at (0.000, 0.000, 0.000), Si at (0.121, 0.621, 0.000), Os at (0.000, 0.500, 0.500) and Os at (0.073, 0.790, 0.500).

9.
Material: UTaSi2Os5
Method: DFT, PBE
State: optimized geometry

Its density of states at the Fermi level is 12.65 states/eV per cell. The final energy comes out at -86.5 eV/cell. For the magnetization, the calculation gives 1.1 Bohr magnetons per cell.

It has space group P4/mmm (No. 123), with a = 3.792 Å, b = 3.792 Å, c = 11.774 Å, α = 90.00°, β = 90.00° and γ = 90.00°. Symmetry generates all atoms from U at (0.000, 0.000, 0.000), Ta at (0.500, 0.500, 0.500), Si at (0.500, 0.500, 0.201), Os at (0.000, 0.500, 0.333) and Os at (0.500, 0.500, 0.000).

10.
Material: YTaSi2Os
Method: DFT, PBE
State: optimized geometry

Its density of states at the Fermi level is 5.33 states/eV per cell. The final energy comes out at -86.9 eV/cell. For the magnetization, the calculation gives 0.0 Bohr magnetons per cell.

It has space group I-4m2 (No. 119), with a = 4.013 Å, b = 4.013 Å, c = 10.992 Å, α = 90.00°, β = 90.00° and γ = 90.00°. Symmetry generates all atoms from Y at (0.000, 0.000, 0.000), Ta at (0.000, 0.500, 0.750), Si at (0.000, 0.000, 0.392) and Os at (0.000, 0.500, 0.250).

11.
Material: Zr2TaSiOs
Method: DFT, PBE
State: optimized geometry

Its density of states at the Fermi level is 4.22 states/eV per cell. The final energy comes out at -42.1 eV/cell. For the magnetization, the calculation gives 0.0 Bohr magnetons per cell.

It has space group P4/mmm (No. 123), with a = 5.069 Å, b = 5.069 Å, c = 4.435 Å, α = 90.00°, β = 90.00° and γ = 90.00°. Symmetry generates all atoms from Zr at (0.000, 0.500, 0.000), Ta at (0.000, 0.000, 0.500), Si at (0.500, 0.500, 0.500) and Os at (0.500, 0.500, 0.000).

12.
Material: Tb6Si2Os
Method: DFT, PBE
State: optimized geometry

Its density of states at the Fermi level is 23.47 states/eV per cell. The final energy comes out at -215.4 eV/cell. For the magnetization, the calculation gives 0.0 Bohr magnetons per cell.

It has space group Immm (No. 71), with a = 9.512 Å, b = 9.579 Å, c = 9.850 Å, α = 90.00°, β = 90.00° and γ = 90.00°. Symmetry generates all atoms from Tb at (0.000, 0.208, 0.170), Tb at (0.173, 0.243, 0.500), Tb at (0.188, 0.500, 0.237), Si at (0.000, 0.000, 0.381), Si at (0.146, 0.000, 0.000), Os at (0.000, 0.500, 0.000) and Os at (0.000, 0.500, 0.500).